No. 1
Here is an optimized crystal structure of Cs2S from Alexandria. Energies are from PBE.

## Properties
- V: 40.19 Å³/atom
- Formation energy (no corrections): -0.923 eV/atom

The structure in CIF format:
```
data_Cs2S
_cell_length_a 5.841
_cell_length_b 10.167
_cell_length_c 8.121
_cell_angle_alpha 90.00
_cell_angle_beta 90.00
_cell_angle_gamma 90.00
_symmetry_space_group_name_H-M 'C m c m'
_symmetry_Int_Tables_number 63
_symmetry_space_group_name_Hall '-C 2c 2'
loop_
_atom_site_label
_atom_site_fract_x
_atom_site_fract_y
_atom_site_fract_z
Cs1 0.000 0.000 0.000
Cs2 0.000 0.333 0.250
S1 0.000 0.334 0.750
```

---

No. 2
Here is an optimized crystal structure of Cs3S from Alexandria. Energies are from PBE.

## Properties
- V: 81.55 Å³/atom
- Relative energy among the computed polymorphs: 20 meV/atom
- Formation energy (no corrections): -0.692 eV/atom

The structure in CIF format:
```
data_Cs3S
_cell_length_a 4.625
_cell_length_b 15.339
_cell_length_c 9.197
_cell_angle_alpha 90.00
_cell_angle_beta 90.00
_cell_angle_gamma 90.00
_symmetry_space_group_name_H-M 'I m m 2'
_symmetry_Int_Tables_number 44
loop_
_symmetry_equiv_pos_as_xyz
'x,y,z'
'-x,-y,z'
'-x,y,z'
'x,-y,z'
'x+1/2,y+1/2,z+1/2'
'-x+1/2,-y+1/2,z+1/2'
'-x+1/2,y+1/2,z+1/2'
'x+1/2,-y+1/2,z+1/2'
loop_
_atom_site_label
_atom_site_fract_x
_atom_site_fract_y
_atom_site_fract_z
Cs1 0.000 0.000 0.000
Cs2 0.000 0.138 0.599
S1 0.000 0.500 0.234
```

---

No. 3
Here is an optimized crystal structure of Cs2S5 from Alexandria. Energies are from PBE.

## Properties
- V: 36.28 Å³/atom
- Formation energy (no corrections): -0.636 eV/atom

The structure in CIF format:
```
data_Cs2S5
_cell_length_a 7.003
_cell_length_b 7.111
_cell_length_c 20.397
_cell_angle_alpha 90.00
_cell_angle_beta 90.00
_cell_angle_gamma 90.00
_symmetry_space_group_name_H-M 'P 21 21 21'
_symmetry_Int_Tables_number 19
loop_
_symmetry_equiv_pos_as_xyz
'x,y,z'
'-x+1/2,-y,z+1/2'
'x+1/2,-y+1/2,-z'
'-x,y+1/2,-z+1/2'
loop_
_atom_site_label
_atom_site_fract_x
_atom_site_fract_y
_atom_site_fract_z
Cs1 0.095 0.202 0.318
Cs2 0.126 0.432 0.993
S1 0.031 0.699 0.354
S2 0.068 0.685 0.682
S3 0.073 0.425 0.634
S4 0.084 0.926 0.950
S5 0.250 0.124 0.134
```

---

No. 4
Here is an optimized crystal structure of Cs2SbS4 from Alexandria. Energies are from PBE.

## Properties
- V: 31.01 Å³/atom
- Relative energy among the computed polymorphs: 94 meV/atom
- Formation energy (no corrections): -0.461 eV/atom

The structure in CIF format:
```
data_Cs2SbS4
_cell_length_a 13.905
_cell_length_b 3.773
_cell_length_c 9.029
_cell_angle_alpha 90.00
_cell_angle_beta 113.60
_cell_angle_gamma 90.00
_symmetry_space_group_name_H-M 'C 1 2/m 1'
_symmetry_Int_Tables_number 12
loop_
_symmetry_equiv_pos_as_xyz
'x,y,z'
'-x,-y,-z'
'-x,y,-z'
'x,-y,z'
'x+1/2,y+1/2,z'
'-x+1/2,-y+1/2,-z'
'-x+1/2,y+1/2,-z'
'x+1/2,-y+1/2,z'
loop_
_atom_site_label
_atom_site_fract_x
_atom_site_fract_y
_atom_site_fract_z
Cs1 0.167 0.000 0.167
Sb1 0.000 0.500 0.500
S1 0.052 0.500 0.799
S2 0.133 0.000 0.529
```

---

No. 5
Here is an optimized crystal structure of Cs2SbS from Alexandria. Energies are from PBE.

## Properties
- V: 43.47 Å³/atom
- Relative energy among the computed polymorphs: 334 meV/atom
- Formation energy (no corrections): -0.135 eV/atom

The structure in CIF format:
```
data_Cs2SbS
_cell_length_a 8.860
_cell_length_b 8.860
_cell_length_c 8.860
_cell_angle_alpha 90.00
_cell_angle_beta 90.00
_cell_angle_gamma 90.00
_symmetry_space_group_name_H-M 'F m -3 m'
_symmetry_Int_Tables_number 225
_symmetry_space_group_name_Hall '-F 4 2 3'
loop_
_atom_site_label
_atom_site_fract_x
_atom_site_fract_y
_atom_site_fract_z
Cs1 0.250 0.250 0.250
Sb1 0.000 0.000 0.000
S1 0.000 0.000 0.500
```

---

No. 6
Here is an optimized crystal structure of Cs2SbS from Alexandria. Energies are from PBE.

## Properties
- V: 53.70 Å³/atom
- Relative energy among the computed polymorphs: 0 meV/atom
- Formation energy (no corrections): -0.468 eV/atom

The structure in CIF format:
```
data_Cs2SbS
_cell_length_a 12.593
_cell_length_b 12.593
_cell_length_c 5.418
_cell_angle_alpha 90.00
_cell_angle_beta 90.00
_cell_angle_gamma 90.00
_symmetry_space_group_name_H-M 'I -4 2 d'
_symmetry_Int_Tables_number 122
_symmetry_space_group_name_Hall 'I -4 2bw'
loop_
_atom_site_label
_atom_site_fract_x
_atom_site_fract_y
_atom_site_fract_z
Cs1 0.086 0.250 0.125
Sb1 0.000 0.000 0.500
S1 0.000 0.000 0.000
```

---

No. 7
Here is an optimized crystal structure of Cs2SbS3 from Alexandria. Energies are from PBE.

## Properties
- V: 40.71 Å³/atom
- Relative energy among the computed polymorphs: 0 meV/atom
- Formation energy (no corrections): -0.813 eV/atom

The structure in CIF format:
```
data_Cs2SbS3
_cell_length_a 7.982
_cell_length_b 14.454
_cell_length_c 16.940
_cell_angle_alpha 90.00
_cell_angle_beta 90.00
_cell_angle_gamma 90.00
_symmetry_space_group_name_H-M 'C m c e'
_symmetry_Int_Tables_number 64
_symmetry_space_group_name_Hall '-C 2ac 2'
loop_
_atom_site_label
_atom_site_fract_x
_atom_site_fract_y
_atom_site_fract_z
Cs1 0.000 0.060 0.154
Cs2 0.000 0.141 0.574
Sb1 0.000 0.247 0.839
S1 0.000 0.093 0.368
S2 0.000 0.156 0.957
S3 0.250 0.210 0.750
```

---

No. 8
Here is an optimized crystal structure of CsSb5S8 from Alexandria. Energies are from PBE.

## Properties
- V: 29.15 Å³/atom
- Formation energy (no corrections): -0.356 eV/atom

The structure in CIF format:
```
data_CsSb5S8
_cell_length_a 20.914
_cell_length_b 3.963
_cell_length_c 10.242
_cell_angle_alpha 90.00
_cell_angle_beta 105.97
_cell_angle_gamma 90.00
_symmetry_space_group_name_H-M 'C 1 m 1'
_symmetry_Int_Tables_number 8
loop_
_symmetry_equiv_pos_as_xyz
'x,y,z'
'x,-y,z'
'x+1/2,y+1/2,z'
'x+1/2,-y+1/2,z'
loop_
_atom_site_label
_atom_site_fract_x
_atom_site_fract_y
_atom_site_fract_z
Cs1 0.000 0.000 0.000
Sb1 0.023 0.500 0.475
Sb2 0.178 0.000 0.455
Sb3 0.239 0.000 0.837
Sb4 0.320 0.500 0.160
Sb5 0.362 0.500 0.527
S1 0.097 0.500 0.310
S2 0.108 0.000 0.623
S3 0.199 0.500 0.970
S4 0.258 0.500 0.629
S5 0.288 0.000 0.311
S6 0.356 0.000 0.000
S7 0.429 0.000 0.669
S8 0.450 0.500 0.328
```

---

No. 9
Here is an optimized crystal structure of Cs2SbS4 from Alexandria. Energies are from PBE.

## Properties
- V: 43.97 Å³/atom
- Relative energy among the computed polymorphs: 0 meV/atom
- Formation energy (no corrections): -0.555 eV/atom

The structure in CIF format:
```
data_Cs2SbS4
_cell_length_a 7.626
_cell_length_b 6.133
_cell_length_c 13.212
_cell_angle_alpha 90.00
_cell_angle_beta 95.05
_cell_angle_gamma 90.00
_symmetry_space_group_name_H-M 'P 1 21/m 1'
_symmetry_Int_Tables_number 11
loop_
_symmetry_equiv_pos_as_xyz
'x,y,z'
'-x,-y,-z'
'-x,y+1/2,-z'
'x,-y+1/2,z'
loop_
_atom_site_label
_atom_site_fract_x
_atom_site_fract_y
_atom_site_fract_z
Cs1 0.221 0.250 0.443
Cs2 0.239 0.250 0.920
Sb1 0.286 0.750 0.241
S1 0.018 0.750 0.327
S2 0.244 0.750 0.062
S3 0.409 0.078 0.688
```

---

No. 10
Here is an optimized crystal structure of Cs2Sb8S13 from Alexandria. Energies are from PBE.

## Properties
- V: 31.90 Å³/atom
- Formation energy (no corrections): -0.441 eV/atom

The structure in CIF format:
```
data_Cs2Sb8S13
_cell_length_a 8.617
_cell_length_b 11.660
_cell_length_c 15.550
_cell_angle_alpha 86.24
_cell_angle_beta 78.25
_cell_angle_gamma 73.60
_symmetry_space_group_name_H-M 'P -1'
_symmetry_Int_Tables_number 2
loop_
_symmetry_equiv_pos_as_xyz
'x,y,z'
'-x,-y,-z'
loop_
_atom_site_label
_atom_site_fract_x
_atom_site_fract_y
_atom_site_fract_z
Cs1 0.123 0.138 0.062
Cs2 0.213 0.434 0.766
Sb1 0.018 0.776 0.576
Sb2 0.133 0.795 0.273
Sb3 0.199 0.471 0.414
Sb4 0.256 0.007 0.589
Sb5 0.332 0.624 0.067
Sb6 0.390 0.026 0.273
Sb7 0.460 0.730 0.450
Sb8 0.473 0.322 0.182
S1 0.052 0.744 0.130
S2 0.056 0.366 0.565
S3 0.095 0.886 0.692
S4 0.111 0.349 0.309
S5 0.223 0.890 0.424
S6 0.270 0.644 0.914
S7 0.288 0.419 0.079
S8 0.289 0.617 0.555
S9 0.339 0.600 0.281
S10 0.341 0.108 0.704
S11 0.341 0.884 0.175
S12 0.476 0.153 0.436
S13 0.495 0.880 0.871
```

---

No. 11
Here is an optimized crystal structure of Cs2Sb4S7 from Alexandria. Energies are from PBE.

## Properties
- V: 33.61 Å³/atom
- Formation energy (no corrections): -0.568 eV/atom

The structure in CIF format:
```
data_Cs2Sb4S7
_cell_length_a 11.651
_cell_length_b 12.510
_cell_length_c 12.173
_cell_angle_alpha 90.00
_cell_angle_beta 99.92
_cell_angle_gamma 90.00
_symmetry_space_group_name_H-M 'P 1 21/c 1'
_symmetry_Int_Tables_number 14
loop_
_symmetry_equiv_pos_as_xyz
'x,y,z'
'-x,-y,-z'
'-x,y+1/2,-z+1/2'
'x,-y+1/2,z+1/2'
loop_
_atom_site_label
_atom_site_fract_x
_atom_site_fract_y
_atom_site_fract_z
Cs1 0.016 0.068 0.175
Cs2 0.450 0.545 0.806
Sb1 0.159 0.148 0.590
Sb2 0.203 0.641 0.055
Sb3 0.297 0.140 0.950
Sb4 0.359 0.659 0.426
S1 0.102 0.206 0.904
S2 0.200 0.025 0.441
S3 0.200 0.728 0.843
S4 0.251 0.504 0.224
S5 0.260 0.534 0.541
S6 0.337 0.240 0.134
S7 0.409 0.706 0.084
```

---

No. 12
Here is an optimized crystal structure of CsSbS from Alexandria. Energies are from PBE.

## Properties
- V: 51.39 Å³/atom
- Formation energy (no corrections): -0.386 eV/atom

The structure in CIF format:
```
data_CsSbS
_cell_length_a 6.026
_cell_length_b 6.834
_cell_length_c 14.977
_cell_angle_alpha 90.00
_cell_angle_beta 90.00
_cell_angle_gamma 90.00
_symmetry_space_group_name_H-M 'I m m m'
_symmetry_Int_Tables_number 71
_symmetry_space_group_name_Hall '-I 2 2'
loop_
_atom_site_label
_atom_site_fract_x
_atom_site_fract_y
_atom_site_fract_z
Cs1 0.000 0.000 0.151
Sb1 0.000 0.279 0.500
S1 0.000 0.000 0.386
```